CeI: relaxed, GGA-PBE.

The structure belongs to space group P2_1/m (No. 11); the cell edges are 4.460, 4.409 and 8.072 Å and the angles 90.00°, 92.33° and 90.00°. The distinct sites, in fractional coordinates, are Ce at (0.215, 0.250, 0.001) and I at (0.265, 0.750, 0.702).

The calculation puts the total moment at 0.92 μB per formula unit. As for the uncorrected formation energy: -0.61 eV per atom.

=====

CeI3: relaxed, GGA-PBE.

The structure belongs to space group P2_1/m (No. 11); the cell edges are 9.277, 4.233 and 9.832 Å and the angles 90.00°, 106.31° and 90.00°. The distinct sites, in fractional coordinates, are Ce at (0.188, 0.250, 0.235), I at (0.086, 0.250, 0.869), I at (0.238, 0.750, 0.487) and I at (0.404, 0.750, 0.154).

The calculation puts the total moment at 1.00 μB per formula unit. As for the uncorrected formation energy: -1.35 eV per atom.

=====

Ce4I: relaxed, GGA-PBE.

The structure belongs to space group Pm-3m (No. 221); the cell edges are 5.822, 5.822 and 5.822 Å and the angles 90.00°, 90.00° and 90.00°. The distinct sites, in fractional coordinates, are Ce at (0.000, 0.000, 0.000), Ce at (0.000, 0.500, 0.500) and I at (0.500, 0.500, 0.500).

The calculation puts the total moment at 4.49 μB per formula unit. As for the uncorrected formation energy: 0.33 eV per atom.

=====

Ce2I5: relaxed, GGA-PBE.

The structure belongs to space group C2/c (No. 15); the cell edges are 17.314, 7.471 and 8.577 Å and the angles 90.00°, 96.48° and 90.00°. The distinct sites, in fractional coordinates, are Ce at (0.107, 0.219, 0.085), I at (0.000, 0.082, 0.750), I at (0.087, 0.378, 0.428) and I at (0.220, 0.083, 0.824).

The calculation puts the total moment at 3.01 μB per formula unit. As for the uncorrected formation energy: -1.25 eV per atom.

=====

CeI3: relaxed, GGA-PBE.

The structure belongs to space group Cmcm (No. 63); the cell edges are 4.366, 15.462 and 10.118 Å and the angles 90.00°, 90.00° and 90.00°. The distinct sites, in fractional coordinates, are Ce at (0.000, 0.242, 0.250), I at (0.000, 0.154, 0.567) and I at (0.000, 0.406, 0.750).

The calculation puts the total moment at 1.00 μB per formula unit. As for the uncorrected formation energy: -1.35 eV per atom.

=====

CeI3: relaxed, GGA-PBE.

The structure belongs to space group P6_3/mmc (No. 194); the cell edges are 11.4779, 11.4779 and 4.1552 Å and the angles 90.00°, 90.00° and 120.00°. The distinct sites, in fractional coordinates, are Ce at (0.3333, 0.6667, 0.2500) and I at (0.2136, 0.4271, 0.7500).

The calculation puts the total moment at 1.00 μB per formula unit. As for the uncorrected formation energy: -1.32 eV per atom.

=====

Ce2I3: relaxed, GGA-PBE.

The structure belongs to space group R-3c (No. 167, hexagonal axes); the cell edges are 7.4937, 7.4937 and 24.0334 Å and the angles 90.00°, 90.00° and 120.00°. The distinct sites, in fractional coordinates, are Ce at (0.0000, 0.0000, 0.1717) and I at (0.0000, 0.3475, 0.2500).

The calculation puts the total moment at 3.57 μB per formula unit. As for the uncorrected formation energy: -0.93 eV per atom. The energy above the most stable polymorph in this dataset comes out at 28.6 meV/atom.

=====

CeI: relaxed, GGA-PBE.

The structure belongs to space group Fm-3m (No. 225); the cell edges are 6.315, 6.315 and 6.315 Å and the angles 90.00°, 90.00° and 90.00°. The distinct sites, in fractional coordinates, are Ce at (0.000, 0.000, 0.000) and I at (0.000, 0.000, 0.500).

The calculation puts the total moment at 1.17 μB per formula unit. As for the uncorrected formation energy: -0.71 eV per atom.

=====

Q: Which value of total moment does entry 7 give?
A: 3.57 μB per formula unit

=====

Copy entry 1 word for word.
CeI: relaxed, GGA-PBE.

The structure belongs to space group P2_1/m (No. 11); the cell edges are 4.460, 4.409 and 8.072 Å and the angles 90.00°, 92.33° and 90.00°. The distinct sites, in fractional coordinates, are Ce at (0.215, 0.250, 0.001) and I at (0.265, 0.750, 0.702).

The calculation puts the total moment at 0.92 μB per formula unit. As for the uncorrected formation energy: -0.61 eV per atom.

=====

Q: The highest total moment belongs to which entry?
A: Ce4I